No. 1
A relaxed structure of Pr4Sm3Th2. Source: Alexandria, functional PBE.

Cell: 19.1215 3.6758 9.8145 Å, 90.00 115.52 90.00°
With the nearest neighbours (Å) after each atom.
Space group C2/m (No. 12)
Unique sites:
Pr 0.0152 0.0000 0.3287 x4  1 Th 3.61, 6 Sm 3.61-3.77, 5 Pr 3.65-3.74
Pr 0.1840 0.5000 0.3222 x4  2 Th 3.57, 4 Sm 3.58-3.80, 6 Pr 3.68-3.79
Sm 0.0000 0.5000 0.0000 x2  6 Pr 3.58-3.61, 2 Sm 3.68, 4 Th 3.72
Sm 0.1515 0.5000 0.6776 x4  3 Th 3.53-3.54, 7 Pr 3.64-3.80, 2 Sm 3.68
Th 0.1691 0.0000 0.9993 x4  5 Sm 3.53-3.72, 3 Pr 3.57-3.61, 4 Th 3.59-3.68

Properties
- Relative energy among the computed polymorphs: 0 meV/atom
- DFT formation energy: 0.024 eV/atom

---

No. 2
A relaxed structure of ReMo2WN. Source: Alexandria, functional PBE.

Cell: 4.7287 4.7287 4.7506 Å, 90.00 90.00 90.00°
With the nearest neighbours (Å) after each atom.
Space group P4/mmm (No. 123)
Unique sites:
Re 0.0000 0.0000 0.0000 x1  4 Mo 2.36, 2 W 2.38
Mo 0.0000 0.5000 0.0000 x2  2 Re 2.36
W 0.0000 0.0000 0.5000 x1  2 Re 2.38
N 0.5000 0.5000 0.5000 x1  4 W 3.34, 8 Mo 3.35

Properties
- Relative energy among the computed polymorphs: 2940 meV/atom
- Formation energy from raw total energies: 2926 meV per atom

---

No. 3
A relaxed structure of LaMo2N. Source: Alexandria, functional PBE.

Cell: 6.2433 6.2433 8.7444 Å, 90.00 90.00 90.00°
With the nearest neighbours (Å) after each atom.
Space group I-42d (No. 122)
Unique sites:
La 0.0000 0.0000 0.0000 x4  8 Mo 3.43-3.64, 4 La 3.81, 4 N 3.81
Mo 0.0429 0.7500 0.6250 x8  2 N 1.92
N 0.0000 0.0000 0.5000 x4  4 Mo 1.92

Properties
- Formation energy from raw total energies: 206 meV per atom

---

No. 4
A relaxed structure of ErZn3Ni2. Source: Alexandria, functional PBE.

Cell: 5.8437 5.8437 19.1514 Å, 90.00 90.00 120.00°
With the nearest neighbours (Å) after each atom.
Space group R-3m (No. 166, hexagonal axes)
Unique sites:
Er 0.0000 0.0000 0.2254 x6  3 Ni 2.67, 6 Zn 2.93
Zn 0.0127 0.5063 0.2347 x18  3 Ni 2.51-2.58, 2 Zn 2.81
Ni 0.0000 0.0000 0.0000 x3  6 Zn 2.58
Ni 0.0000 0.5000 0.0000 x9  4 Zn 2.51, 2 Er 2.67

Properties
- DFT formation energy: -0.130 eV/atom

---

No. 5
A relaxed structure of Tb2Sm2TmMg5. Source: Alexandria, functional PBE.

Cell: 10.5877 10.5877 5.0683 Å, 90.00 90.00 90.00°
With the nearest neighbours (Å) after each atom.
Space group P4/mbm (No. 127)
Unique sites:
Tb 0.1204 0.3796 0.0000 x4  3 Sm 3.03-3.21, 6 Mg 3.11-3.24
Sm 0.1773 0.6773 0.0000 x4  3 Tb 3.03-3.21
Tm 0.0000 0.0000 0.0000 x2  8 Mg 3.36
Mg 0.0000 0.5000 0.5000 x2  4 Tb 3.11, 4 Mg 3.29
Mg 0.0677 0.1967 0.5000 x8  3 Mg 3.12-3.29, 2 Tb 3.24, 2 Tm 3.36

Properties
- DFT formation energy: 0.055 eV/atom

---

No. 6
A relaxed structure of Tl3VSb. Source: Alexandria, functional PBE.

Cell: 5.8668 5.8668 5.8668 Å, 90.00 90.00 90.00°
With the nearest neighbours (Å) after each atom.
Space group Pm-3m (No. 221)
Unique sites:
Tl 0.0000 0.0000 0.5000 x3  2 Sb 2.93
V 0.5000 0.5000 0.5000 x1  12 Tl 4.15
Sb 0.0000 0.0000 0.0000 x1  6 Tl 2.93

Properties
- Relative energy among the computed polymorphs: 464 meV/atom
- Formation energy from raw total energies: 1084 meV per atom

---

Per-record electronic total energy, eV per cell: -95.8, -40.8, -136.4, -124.4, -61.2, -14.9